(1)
First-principles (PBE) data for a relaxed Mn2Te2Pb crystal, as listed in the Alexandria database.

Cell lengths 8.3364, 8.3364, 3.6624 Å; angles 90.00, 90.00, 90.00 degrees
Sites, in units of the cell vectors:
Pb  0.0000  0.0000  0.0000
Pb  0.5000  0.5000  0.0000
Te  0.3420  0.8420  0.0000
Te  0.8420  0.6580  0.0000
Te  0.6580  0.1580  0.0000
Te  0.1580  0.3420  0.0000
Mn  0.1161  0.6161  0.5000
Mn  0.6161  0.8839  0.5000
Mn  0.8839  0.3839  0.5000
Mn  0.3839  0.1161  0.5000

## Properties
- ΔE to the lowest computed polymorph: 144 meV per atom

(2)
First-principles (PBE) data for a relaxed Mn2TePb crystal, as listed in the Alexandria database.

Cell lengths 3.3889, 3.3898, 7.7516 Å; angles 90.00, 90.00, 90.00 degrees
Sites, in units of the cell vectors:
Mn  0.0000  0.0000  0.0200
Mn  0.5000  0.5000  0.2018
Pb  0.0000  0.0000  0.4286
Te  0.5000  0.5000  0.8496

## Properties
- ΔE to the lowest computed polymorph: 0 meV per atom

(3)
First-principles (PBE) data for a relaxed Mn2Te2Pb crystal, as listed in the Alexandria database.

Cell lengths 3.7197, 3.7197, 9.0370 Å; angles 78.12, 78.12, 90.00 degrees
Sites, in units of the cell vectors:
Pb  0.0000  0.0000  0.0000
Te  0.3563  0.3563  0.2875
Te  0.6437  0.6437  0.7125
Mn  0.7500  0.2500  0.5000
Mn  0.2500  0.7500  0.5000

## Properties
- ΔE to the lowest computed polymorph: 0 meV per atom

(4)
First-principles (PBE) data for a relaxed Mn2Te2Pb crystal, as listed in the Alexandria database.

Cell lengths 5.8397, 5.8397, 5.8397 Å; angles 124.00, 124.00, 83.20 degrees
Sites, in units of the cell vectors:
Mn  0.6670  0.6670  0.0000
Mn  0.3330  0.3330  0.0000
Te  0.2500  0.7500  0.5000
Te  0.7500  0.2500  0.5000
Pb  0.0000  0.0000  0.0000

## Properties
- ΔE to the lowest computed polymorph: 153 meV per atom

(5)
First-principles (PBE) data for a relaxed Mn2TePb crystal, as listed in the Alexandria database.

Cell lengths 3.5254, 3.5236, 6.8169 Å; angles 90.00, 90.00, 90.00 degrees
Sites, in units of the cell vectors:
Mn  0.0000  0.0000  0.9610
Mn  0.0000  0.0000  0.5390
Pb  0.5000  0.5000  0.2500
Te  0.5000  0.5000  0.7500

## Properties
- ΔE to the lowest computed polymorph: 179 meV per atom

(6)
First-principles (PBE) data for a relaxed Mn2TePb crystal, as listed in the Alexandria database.

Cell lengths 4.9406, 4.9406, 3.7657 Å; angles 81.84, 81.84, 100.01 degrees
Sites, in units of the cell vectors:
Mn  0.0000  0.0000  0.0000
Mn  0.5000  0.5000  0.0000
Pb  0.5000  0.0000  0.5000
Te  0.0000  0.5000  0.5000

## Properties
- ΔE to the lowest computed polymorph: 194 meV per atom

(7)
First-principles (PBE) data for a relaxed Mn2TePb crystal, as listed in the Alexandria database.

Cell lengths 7.0015, 7.0015, 7.0015 Å; angles 33.04, 33.04, 33.04 degrees
Sites, in units of the cell vectors:
Mn  0.9769  0.9769  0.9769
Mn  0.2866  0.2866  0.2866
Pb  0.5258  0.5258  0.5258
Te  0.7106  0.7106  0.7106

## Properties
- ΔE to the lowest computed polymorph: 4 meV per atom

(8)
First-principles (PBE) data for a relaxed Mn2TePb crystal, as listed in the Alexandria database.

Cell lengths 7.6680, 7.6680, 6.3203 Å; angles 52.65, 52.65, 90.00 degrees
Sites, in units of the cell vectors:
Pb  0.0000  0.0000  0.0000
Pb  0.7500  0.2500  0.5000
Te  0.5000  0.5000  0.0000
Te  0.2500  0.7500  0.5000
Mn  0.6116  0.1250  0.2500
Mn  0.1384  0.6250  0.2500
Mn  0.3750  0.3884  0.7500
Mn  0.8750  0.8616  0.7500

## Properties
- ΔE to the lowest computed polymorph: 201 meV per atom

(9)
First-principles (PBE) data for a relaxed Mn2TePb crystal, as listed in the Alexandria database.

Cell lengths 4.5699, 4.5699, 4.5699 Å; angles 60.00, 60.00, 60.00 degrees
Sites, in units of the cell vectors:
Pb  0.5000  0.5000  0.5000
Te  0.0000  0.0000  0.0000
Mn  0.2500  0.2500  0.2500
Mn  0.7500  0.7500  0.7500

## Properties
- ΔE to the lowest computed polymorph: 587 meV per atom

(10)
First-principles (PBE) data for a relaxed MnTePb3 crystal, as listed in the Alexandria database.

Cell lengths 5.2120, 5.2120, 5.2120 Å; angles 90.00, 90.00, 90.00 degrees
Sites, in units of the cell vectors:
Pb  0.0000  0.5000  0.0000
Pb  0.0000  0.0000  0.5000
Pb  0.5000  0.0000  0.0000
Te  0.5000  0.5000  0.5000
Mn  0.0000  0.0000  0.0000

## Properties
- ΔE to the lowest computed polymorph: 0 meV per atom

(11)
First-principles (PBE) data for a relaxed MnTe4Pb3 crystal, as listed in the Alexandria database.

Cell lengths 4.5002, 7.8122, 7.8122 Å; angles 109.11, 90.00, 90.00 degrees
Sites, in units of the cell vectors:
Pb  0.0000  0.0000  0.5000
Pb  0.5000  0.5000  0.5000
Pb  0.0000  0.5000  0.0000
Mn  0.5000  0.0000  0.0000
Te  0.0000  0.2244  0.2244
Te  0.5000  0.7662  0.2338
Te  0.0000  0.7756  0.7756
Te  0.5000  0.2338  0.7662

(12)
First-principles (PBE) data for a relaxed Mn2TePb crystal, as listed in the Alexandria database.

Cell lengths 6.9173, 6.9173, 6.9173 Å; angles 34.12, 34.12, 34.12 degrees
Sites, in units of the cell vectors:
Mn  0.0016  0.0016  0.0016
Mn  0.4984  0.4984  0.4984
Pb  0.2500  0.2500  0.2500
Te  0.7500  0.7500  0.7500

## Properties
- ΔE to the lowest computed polymorph: 56 meV per atom

Number 1: formation energy without anion corrections 1.1 eV/f.u., spin magnetization 1.692 μB per atom. Number 2: formation energy without anion corrections 0.8 eV/f.u., spin magnetization 1.629 μB per atom. Number 3: formation energy without anion corrections 0.3 eV/f.u., spin magnetization 0.921 μB per atom. Number 4: formation energy without anion corrections 1.1 eV/f.u., spin magnetization 1.609 μB per atom. Number 5: formation energy without anion corrections 1.5 eV/f.u., spin magnetization 1.816 μB per atom. Number 6: formation energy without anion corrections 1.5 eV/f.u., spin magnetization 1.943 μB per atom. Number 7: formation energy without anion corrections 0.8 eV/f.u., spin magnetization 0.121 μB per atom. Number 8: formation energy without anion corrections 1.6 eV/f.u., spin magnetization 2.063 μB per atom. Number 9: formation energy without anion corrections 3.1 eV/f.u., spin magnetization 0.000 μB per atom. Number 10: formation energy without anion corrections 1.0 eV/f.u., spin magnetization 0.200 μB per atom. Number 11: formation energy without anion corrections -2.3 eV/f.u., spin magnetization 0.625 μB per atom. Number 12: formation energy without anion corrections 1.0 eV/f.u., spin magnetization 1.981 μB per atom.